DFT (meta-GGA SCAN) results for a PBEsol-optimized structure of CdAsAu2.

a b c (Å): 3.5988 3.5988 5.6855
angles (deg): 90.00 90.00 90.00
Last column: nearest neighbours and their distance in Å.
Positions (direct):
Cd1 0.0000 0.0000 0.0000  6 Au 2.81-2.87, 4 As 3.09
As1 0.5000 0.5000 0.3080  5 Au 2.66-2.76
Au1 0.0000 0.0000 0.4948  4 As 2.76, 2 Cd 2.81-2.87, 4 Au 3.00
Au2 0.5000 0.5000 0.7754  1 As 2.66, 4 Cd 2.85

As for the calculated volume: 73.6 Å³ per cell. The value obtained for the total energy is -3.4708 Ry per atom. The formation energy comes out at 0.0068 eV/atom. The relative energy among the computed polymorphs comes out at 0 meV per atom.

***

DFT (meta-GGA SCAN) results for a PBEsol-optimized structure of InTcW2.

a b c (Å): 9.3471 9.3471 9.3471
angles (deg): 17.64 17.64 17.64
Last column: nearest neighbours and their distance in Å.
Positions (direct):
In1 0.0000 0.0000 0.0000  6 In 2.87, 3 Tc 2.89, 3 W 2.98
Tc1 0.7524 0.7524 0.7524  3 W 2.64, 6 Tc 2.87, 3 In 2.89
W1 0.2437 0.2437 0.2437  9 W 2.84-2.87, 3 In 2.98
W2 0.4935 0.4935 0.4935  3 Tc 2.64, 9 W 2.84-2.87

As for the calculated volume: 65.4 Å³ per cell. The value obtained for the total energy is -3.7874 Ry per atom. The formation energy comes out at 0.4252 eV/atom. The relative energy among the computed polymorphs comes out at 51 meV per atom.

***

DFT (meta-GGA SCAN) results for a PBEsol-optimized structure of LiMn2NiO6.

a b c (Å): 4.9120 4.9120 10.3410
angles (deg): 98.54 98.54 59.24
Last column: nearest neighbours and their distance in Å.
Positions (direct):
Li1 0.1290 0.8710 0.7500  4 O 2.03-2.10
Li2 0.8710 0.1290 0.2500  4 O 2.03-2.10
Mn1 0.1645 0.6684 0.0024  6 O 1.88-1.92
Mn2 0.3316 0.8355 0.4976  6 O 1.88-1.92
Mn3 0.6684 0.1645 0.5024  6 O 1.88-1.92
Mn4 0.8355 0.3316 0.9976  6 O 1.88-1.92
Ni1 0.0000 0.5000 0.5000  6 O 1.87-2.09
Ni2 0.5000 0.0000 0.0000  6 O 1.87-2.09
O1 0.0234 0.1546 0.6044  2 Mn 1.88, 1 Li 2.03, 1 Ni 2.09
O2 0.1497 0.3101 0.9055  1 Ni 1.87, 2 Mn 1.88-1.92
O3 0.1546 0.0234 0.1044  2 Mn 1.88, 1 Li 2.03, 1 Ni 2.09
O4 0.3101 0.1497 0.4055  1 Ni 1.87, 2 Mn 1.88-1.92
O5 0.3457 0.5283 0.5955  1 Ni 1.89, 2 Mn 1.91-1.92, 1 Li 2.10
O6 0.4717 0.6543 0.9045  1 Ni 1.89, 2 Mn 1.91-1.92, 1 Li 2.10
O7 0.5283 0.3457 0.0955  1 Ni 1.89, 2 Mn 1.91-1.92, 1 Li 2.10
O8 0.6543 0.4717 0.4045  1 Ni 1.89, 2 Mn 1.91-1.92, 1 Li 2.10
O9 0.6899 0.8503 0.5945  1 Ni 1.87, 2 Mn 1.88-1.92
O10 0.8454 0.9766 0.8956  2 Mn 1.88, 1 Li 2.03, 1 Ni 2.09
O11 0.8503 0.6899 0.0945  1 Ni 1.87, 2 Mn 1.88-1.92
O12 0.9766 0.8454 0.3956  2 Mn 1.88, 1 Li 2.03, 1 Ni 2.09

Its energy relative to the elements, uncorrected is -1846 kJ/mol of formula units. As for the calculated volume: 211.2 Å³ per cell. The value obtained for the total energy is -0.8202 Ry per atom. The relative energy among the computed polymorphs comes out at 0 meV per atom.

***

DFT (meta-GGA SCAN) results for a PBEsol-optimized structure of Zn2CoRe.

a b c (Å): 4.1646 4.1646 4.1646
angles (deg): 60.00 60.00 60.00
Last column: nearest neighbours and their distance in Å.
Positions (direct):
Zn1 0.0000 0.0000 0.0000  4 Zn 2.55, 4 Co 2.55
Zn2 0.2500 0.2500 0.2500  4 Re 2.55, 4 Zn 2.55
Co1 0.7500 0.7500 0.7500  4 Re 2.55, 4 Zn 2.55
Re1 0.5000 0.5000 0.5000  4 Co 2.55, 4 Zn 2.55

As for the calculated volume: 51.1 Å³ per cell. The value obtained for the total energy is -2.0981 Ry per atom. The formation energy comes out at 0.3116 eV/atom. The relative energy among the computed polymorphs comes out at 251 meV per atom.

***

DFT (meta-GGA SCAN) results for a PBEsol-optimized structure of BaIn2Co.

a b c (Å): 6.1479 6.1479 3.1307
angles (deg): 90.00 90.00 122.76
Last column: nearest neighbours and their distance in Å.
Positions (direct):
Ba1 0.0000 0.0000 0.0000  2 Co 2.94, 2 Ba 3.13
In1 0.0000 0.5000 0.5000  4 In 2.94-3.13
In2 0.5000 0.0000 0.5000  4 In 2.94-3.13
Co1 0.5000 0.5000 0.0000  2 Ba 2.94, 2 Co 3.13

As for the calculated volume: 99.5 Å³ per cell. The value obtained for the total energy is -2.2383 Ry per atom. The formation energy comes out at 0.4536 eV/atom.

***

DFT (meta-GGA SCAN) results for a PBEsol-optimized structure of CaLaBi2.

a b c (Å): 5.5979 5.5979 5.5979
angles (deg): 60.00 60.00 60.00
Last column: nearest neighbours and their distance in Å.
Positions (direct):
Ca1 0.0000 0.0000 0.0000  8 Bi 3.43
La1 0.5000 0.5000 0.5000  8 Bi 3.43
Bi1 0.2500 0.2500 0.2500  4 La 3.43, 4 Ca 3.43
Bi2 0.7500 0.7500 0.7500  4 Ca 3.43, 4 La 3.43

As for the calculated volume: 124.0 Å³ per cell. The value obtained for the total energy is -3.9222 Ry per atom. The formation energy comes out at -0.8819 eV/atom.